Density functional theory data (PBE) for crystalline PaPdAu3 at its relaxed geometry.

Structure (POSCAR):
```
PaPdAu3
1.0
5.383 0.000 0.000
0.000 5.322 0.000
0.000 0.000 7.173
Pa Pd Au
2 2 6
direct
0.000 0.221 0.000
0.500 0.779 0.500
0.000 0.994 0.635
0.500 0.006 0.135
0.000 0.763 0.262
0.248 0.304 0.388
0.252 0.696 0.888
0.500 0.237 0.762
0.748 0.696 0.888
0.752 0.304 0.388
```

Summary:
Calculated formation energy: -0.345 eV per atom
SG: Pmn2_1, No. 31